1.
CuGeBr2, relaxed, DFT PBE; SG = No. 225; magnetic moment = 0.00 Bohr magnetons per cell; formation energy (no corrections) = 0.255 eV per atom; energy above the most stable polymorph in this dataset = 0.64 eV/f.u.; uncorrected energy = -2.759 eV per atom
1.0
3.0374 -3.9452 0.1282
-1.3600 -4.2620 -2.1890
2.2973 -1.5101 -4.1531
Ge Cu Br
1 1 2
direct
0.5000 0.5000 0.5000
0.0000 0.0000 0.0000
0.2500 0.2500 0.2500
0.7500 0.7500 0.7500

2.
BaNpTi2O8, relaxed, DFT PBE; SG = No. 2; magnetic moment = 1.00 Bohr magnetons per cell; formation energy (no corrections) = -2.907 eV per atom; uncorrected energy = -8.767 eV per atom
1.0
5.1705 0.6305 0.5005
0.6967 5.1635 0.5056
0.7589 0.7416 7.5030
Ba Np Ti O
1 1 2 8
direct
0.0000 0.0000 0.5000
0.0000 0.0000 0.0000
0.4554 0.4553 0.7027
0.5446 0.5447 0.2973
0.2440 0.7655 0.2098
0.7660 0.7678 0.0868
0.7668 0.2450 0.2094
0.7560 0.2345 0.7902
0.2340 0.2322 0.9132
0.2332 0.7550 0.7906
0.6512 0.6529 0.4851
0.3488 0.3471 0.5149

3.
HfCu3P, relaxed, DFT PBE; SG = No. 221; magnetic moment = 0.00 Bohr magnetons per cell; formation energy from the elements = 782 kJ/mol of formula units; energy above the most stable polymorph in this dataset = 6.54 eV/f.u.; uncorrected energy = -3.909 eV per atom
1.0
-3.5833 1.3676 -2.9126
-3.1426 -2.4240 2.7281
-0.6913 3.9304 2.6959
P Hf Cu
1 1 3
direct
0.5000 0.5000 0.5000
0.0000 0.0000 0.0000
0.0000 0.5000 0.0000
0.0000 0.0000 0.5000
0.5000 0.0000 0.0000

4.
LiAc2ErTe4, relaxed, DFT PBE; SG = No. 10; magnetic moment = 0.00 Bohr magnetons per cell; formation energy (no corrections) = -1.365 eV per atom; uncorrected energy = -4.772 eV per atom
1.0
-2.7324 2.8289 2.2374
2.9808 -2.5229 6.8303
4.1895 6.0810 -2.5722
Li Ac Er Te
1 2 1 4
direct
0.0000 0.0000 0.0000
0.5000 0.0000 0.5000
0.0000 0.5000 0.5000
0.5000 0.5000 0.0000
0.5000 0.2378 0.2187
0.5000 0.7622 0.7813
0.0000 0.2567 0.7809
0.0000 0.7433 0.2191

5.
PaBrF, relaxed, DFT PBE; SG = No. 187; magnetic moment = 2.19 Bohr magnetons per cell; formation energy (no corrections) = -1.707 eV per atom; uncorrected energy = -6.054 eV per atom
1.0
3.5836 0.0000 0.0000
0.0000 4.3894 0.0000
0.0000 -2.1947 3.8013
Pa Br F
1 1 1
direct
0.1671 0.6667 0.3333
0.6667 0.3333 0.6667
0.1662 0.0000 0.0000

6.
YMg2Se, relaxed, DFT PBE; SG = No. 99; magnetic moment = 0.00 Bohr magnetons per cell; formation energy (no corrections) = -0.566 eV per atom; uncorrected energy = -3.851 eV per atom
1.0
3.5338 0.0157 0.0000
-0.0157 3.5338 0.0000
0.0000 0.0000 8.0664
Mg Se Y
2 1 1
direct
0.0000 0.0000 0.0113
0.5000 0.5000 0.2615
0.0000 0.0000 0.5206
0.5000 0.5000 0.7066

7.
CeThCdOs, relaxed, DFT PBE; SG = No. 216; magnetic moment = 0.48 Bohr magnetons per cell; formation energy from the elements = -19 kJ/mol of formula units; uncorrected energy = -6.424 eV per atom
1.0
5.1579 0.0000 0.0000
2.5789 4.4669 0.0000
2.5789 1.4890 4.2114
Os Ce Th Cd
1 1 1 1
direct
0.2500 0.2500 0.2500
0.0000 0.0000 0.0000
0.5000 0.5000 0.5000
0.7500 0.7500 0.7500

8.
MnAgBr6, relaxed, DFT PBE; SG = No. 2; magnetic moment = 3.47 Bohr magnetons per cell; formation energy (no corrections) = -0.343 eV per atom; energy above the most stable polymorph in this dataset = 0.24 eV/f.u.; uncorrected energy = -3.101 eV per atom
1.0
-1.1601 -0.1375 6.1625
-1.2847 -6.5278 2.7910
4.8690 -3.9575 3.9771
Mn Ag Br
1 1 6
direct
0.0000 0.0000 0.0000
0.5000 0.5000 0.5000
0.0858 0.3910 0.7692
0.7778 0.0944 0.7326
0.6426 0.1779 0.1963
0.2222 0.9056 0.2674
0.9142 0.6090 0.2308
0.3574 0.8221 0.8037

9.
ScGeP2Cl, relaxed, DFT PBE; SG = No. 123; magnetic moment = 0.00 Bohr magnetons per cell; formation energy (no corrections) = 0.040 eV per atom; energy above the most stable polymorph in this dataset = 0.00 eV/f.u.; uncorrected energy = -4.683 eV per atom
1.0
-1.7664 2.7556 3.8151
-4.3383 0.6260 -2.4608
-1.7440 -3.9748 2.0634
Sc P Ge Cl
1 2 1 1
direct
0.0000 0.0000 0.0000
0.0000 0.5000 0.0000
0.5000 0.0000 0.0000
0.5000 0.5000 0.5000
0.0000 0.0000 0.5000

10.
CaTe2Se, relaxed, DFT PBE; SG = No. 6; magnetic moment = 0.00 Bohr magnetons per cell; formation energy (no corrections) = -0.741 eV per atom; uncorrected energy = -3.683 eV per atom
1.0
-2.0475 -4.9233 -0.3945
3.5281 -1.2916 -2.1928
5.1987 -2.4147 3.1542
Ca Te Se
1 2 1
direct
0.0000 0.2383 0.5780
0.0000 0.0660 0.1283
0.5000 0.3147 0.1398
0.5000 0.8811 0.6538

11.
SrCuSnP, relaxed, DFT PBE; SG = No. 129; magnetic moment = 0.00 Bohr magnetons per cell; formation energy from the elements = -189 kJ/mol of formula units; uncorrected energy = -4.286 eV per atom
1.0
4.1376 0.0000 0.0000
0.0000 4.1376 0.0000
0.0000 0.0000 11.0690
Sr Cu Sn P
2 2 2 2
direct
0.7500 0.7500 0.2242
0.2500 0.2500 0.7758
0.7500 0.2500 0.0000
0.2500 0.7500 0.0000
0.2500 0.7500 0.5000
0.7500 0.2500 0.5000
0.7500 0.7500 0.8874
0.2500 0.2500 0.1126

12.
AlRuBr2, relaxed, DFT PBE; SG = No. 65; magnetic moment = 0.96 Bohr magnetons per cell; formation energy (no corrections) = 0.492 eV per atom; energy above the most stable polymorph in this dataset = 2.80 eV/f.u.; uncorrected energy = -3.599 eV per atom
1.0
3.4115 0.0015 0.0000
-1.9099 2.8267 0.0000
0.0000 0.0000 9.2115
Ru Al Br
1 1 2
direct
0.5000 0.5000 0.2500
0.5000 0.5000 0.7500
0.0000 0.0000 0.0378
0.0000 0.0000 0.4622